A plane-wave DFT calculation with PBE-GGA was carried out for an optimized crystal structure of Li4Pm3Au4.

```
data_Li4Pm3Au4
_chemical_formula_sum 'Li4 Pm3 Au4'
_cell_length_a 3.824
_cell_length_b 4.321
_cell_length_c 14.667
_cell_angle_alpha 81.71
_cell_angle_beta 82.54
_cell_angle_gamma 89.97
_symmetry_space_group_name_H-M 'P -1'
_symmetry_Int_Tables_number 2
_symmetry_space_group_name_Hall '-P 1'
loop_
_atom_site_label
_atom_site_type_symbol
_atom_site_fract_x
_atom_site_fract_y
_atom_site_fract_z
_atom_site_occupancy
Li1 Li 0.094 0.094 0.311 1
Li2 Li 0.248 0.747 0.004 1
Pm1 Pm 0.356 0.357 0.788 1
Pm2 Pm 0.500 0.000 0.500 1
Au1 Au 0.051 0.551 0.398 1
Au2 Au 0.185 0.184 0.129 1
```

## Properties
formation energy = -0.56 eV per atom
calculated density = 8.7 Mg/m³
excess energy over the best structure of this formula in the dataset = 26 meV/atom